Here is Sb2Te4P after structural relaxation from the Alexandria database. Energies are from PBEsol.

Lattice parameters (Å, degrees): 4.285 4.285 12.753 80.33 80.33 60.00
Sites, in units of the cell vectors:
Te: 0.706 0.706 0.883
Te: 0.865 0.865 0.405
Te: 0.135 0.135 0.595
Te: 0.294 0.294 0.117
Sb: 0.423 0.423 0.732
Sb: 0.577 0.577 0.268
P: 0.000 0.000 0.000

## Properties
Magnetic moment, μB per formula unit: 0.00
Final energy, eV per atom: -4.111
ΔE_f (raw), eV/atom: 0.034

---

Here is CsRbCl2 after structural relaxation from the Alexandria database. Energies are from PBEsol.

Lattice parameters (Å, degrees): 4.976 4.976 9.939 75.50 75.50 60.00
Sites, in units of the cell vectors:
Cl: 0.892 0.892 0.323
Cl: 0.108 0.108 0.677
Cs: 0.000 0.000 0.000
Rb: 0.500 0.500 0.500

## Properties
Magnetic moment, μB per formula unit: 0.00
Final energy, eV per atom: -3.147
Polymorph energy (0 for the lowest one), meV per atom: 260
ΔE_f (raw), eV/atom: -1.651

---

Here is SrCuNi2 after structural relaxation from the Alexandria database. Energies are from PBEsol.

Lattice parameters (Å, degrees): 2.808 5.034 5.034 114.40 101.55 101.55
Sites, in units of the cell vectors:
Ni: 0.000 0.000 0.500
Ni: 0.000 0.500 0.000
Cu: 0.500 0.500 0.500
Sr: 0.500 0.000 0.000

## Properties
Magnetic moment, μB per formula unit: 0.00
Final energy, eV per atom: -4.075
Polymorph energy (0 for the lowest one), meV per atom: 575
Energy relative to the elements, meV/atom: 547

---

Here is MnTlCd2 after structural relaxation from the Alexandria database. Energies are from PBEsol.

Lattice parameters (Å, degrees): 3.127 3.127 9.991 81.00 81.00 60.00
Sites, in units of the cell vectors:
Mn: 0.500 0.500 0.500
Cd: 0.240 0.240 0.280
Cd: 0.760 0.760 0.720
Tl: 0.000 0.000 0.000

## Properties
Magnetic moment, μB per formula unit: 3.66
Final energy, eV per atom: -3.374
Polymorph energy (0 for the lowest one), meV per atom: 59
Energy relative to the elements, meV/atom: 322